Below is a geometry-optimized LaPb4 structure, with properties calculated at the PBE level.

a = 4.641 Å, b = 4.641 Å, c = 15.826 Å
α = 90.00°, β = 90.00°, γ = 90.00°
Space group I4/mmm (No. 139)
Inequivalent atoms, fractional coordinates:
La (0.000, 0.000, 0.000) [2 per cell]
Pb (0.000, 0.000, 0.405) [4 per cell]
Pb (0.000, 0.500, 0.250) [4 per cell]

Output
DFT formation energy	-0.132	eV per atom
E above lowest polymorph	0.0	meV/atom